Here is a relaxed PrCuPd3 crystal from the Alexandria database. Energies are from PBE.

Properties
energy	-5.362	eV/atom
energy relative to the elements	-0.471	eV/atom
mass density	9.16	g/cm³
polymorph energy (0 for the lowest one)	0.000	eV/atom

Lattice parameters (Å, degrees): 5.420 7.901 8.863 90.00 90.00 90.00
Space group Imma (No. 74)
Asymmetric unit:
1 Pr 0.000 0.250 0.004 [4 per cell]
2 Cu 0.000 0.000 0.500 [4 per cell]
3 Pd 0.000 0.250 0.677 [4 per cell]
4 Pd 0.250 0.048 0.250 [8 per cell]